A plane-wave DFT calculation with PBE-GGA was carried out for a relaxed structure of CaMg2H.

The space group is Fm-3m (No. 225) and the conventional cell measures 7.4139, 7.4139 and 7.4139 Å, with angles of 90.00, 90.00 and 90.00 degrees. The asymmetric unit holds Ca at (0.0000, 0.0000, 0.0000), Mg at (0.2500, 0.2500, 0.2500) and H at (0.0000, 0.0000, 0.5000).

The calculation puts the excess energy over the best structure of this formula in the dataset at 587 meV/atom. The total energy comes out at -0.05637 hartree per atom.

---

A plane-wave DFT calculation with PBE-GGA was carried out for a relaxed structure of Ca2MgH6.

The space group is P4_2/mnm (No. 136) and the conventional cell measures 4.8595, 4.8595 and 10.2389 Å, with angles of 90.00, 90.00 and 90.00 degrees. The asymmetric unit holds Ca at (0.0000, 0.0000, 0.1656), Mg at (0.0000, 0.0000, 0.5000), H at (0.1804, 0.1804, 0.3481) and H at (0.2131, 0.2131, 0.0000).

The total energy comes out at -0.11851 hartree per atom.

---

A plane-wave DFT calculation with PBE-GGA was carried out for a relaxed structure of Ca2MgH.

The space group is I-42d (No. 122) and the conventional cell measures 7.1732, 7.1732 and 8.2284 Å, with angles of 90.00, 90.00 and 90.00 degrees. The asymmetric unit holds Ca at (0.1283, 0.7500, 0.1250), Mg at (0.0000, 0.0000, 0.5000) and H at (0.0000, 0.0000, 0.0000).

The calculation puts the excess energy over the best structure of this formula in the dataset at 0 meV/atom. The total energy comes out at -0.08656 hartree per atom.

---

A plane-wave DFT calculation with PBE-GGA was carried out for a relaxed structure of Ca2MgH8.

The space group is C2/m (No. 12) and the conventional cell measures 12.3265, 3.7308 and 5.2070 Å, with angles of 90.00, 114.03 and 90.00 degrees. The asymmetric unit holds Ca at (0.1561, 0.0000, 0.1908), Mg at (0.0000, 0.5000, 0.5000), H at (0.0116, 0.0000, 0.7443), H at (0.1555, 0.5000, 0.4308), H at (0.1859, 0.5000, 0.9519) and H at (0.2476, 0.5000, 0.1229).

The total energy comes out at -0.11470 hartree per atom.

---

A plane-wave DFT calculation with PBE-GGA was carried out for a relaxed structure of CaMgH3.

The space group is C2/c (No. 15) and the conventional cell measures 8.8688, 5.4952 and 10.4867 Å, with angles of 90.00, 100.03 and 90.00 degrees. The asymmetric unit holds Ca at (0.1202, 0.2222, 0.1209), Mg at (0.0000, 0.2752, 0.7500), Mg at (0.2500, 0.2500, 0.5000), H at (0.0722, 0.1787, 0.5699), H at (0.1360, 0.0231, 0.3254) and H at (0.1743, 0.4373, 0.9529).

The calculation puts the excess energy over the best structure of this formula in the dataset at 0 meV/atom. The total energy comes out at -0.10925 hartree per atom.

---

A plane-wave DFT calculation with PBE-GGA was carried out for a relaxed structure of Ca2MgH.

The space group is Fm-3m (No. 225) and the conventional cell measures 7.6192, 7.6192 and 7.6192 Å, with angles of 90.00, 90.00 and 90.00 degrees. The asymmetric unit holds Ca at (0.2500, 0.2500, 0.2500), Mg at (0.0000, 0.0000, 0.0000) and H at (0.0000, 0.0000, 0.5000).

The calculation puts the excess energy over the best structure of this formula in the dataset at 430 meV/atom. The total energy comes out at -0.07077 hartree per atom.

---

A plane-wave DFT calculation with PBE-GGA was carried out for a relaxed structure of Ca6MgH12.

The space group is R-3 (No. 148, hexagonal axes) and the conventional cell measures 9.8004, 9.8004 and 9.2831 Å, with angles of 90.00, 90.00 and 120.00 degrees. The asymmetric unit holds Ca at (0.0529, 0.7947, 0.1560), Mg at (0.0000, 0.0000, 0.5000), H at (0.0417, 0.8137, 0.9055) and H at (0.0449, 0.8442, 0.3977).

The total energy comes out at -0.12101 hartree per atom.

---

A plane-wave DFT calculation with PBE-GGA was carried out for a relaxed structure of CaMg2H.

The space group is Fd-3m (No. 227, origin choice 2) and the conventional cell measures 8.9886, 8.9886 and 8.9886 Å, with angles of 90.00, 90.00 and 90.00 degrees. The asymmetric unit holds Ca at (0.1250, 0.1250, 0.1250), Mg at (0.0000, 0.0000, 0.5000) and H at (0.1250, 0.1250, 0.6250).

The calculation puts the excess energy over the best structure of this formula in the dataset at 0 meV/atom. The total energy comes out at -0.07796 hartree per atom.